1.
The following is a PBE-GGA calculation of an optimized crystal structure of Fe2WBr, from Alexandria.

As for the space group: Cmmm (65). The calculation puts the energy above the most stable polymorph in this dataset at 0.1318 eV per atom. The crystal system is orthorhombic. The size of the total moment comes out at 5.1 μB per formula unit. The value obtained for the formation energy from raw total energies is 0.60 eV/atom. The electronic total energy comes out at -7.286 eV/atom.

Lattice parameters (Å, degrees): 2.8733 2.8733 8.3558 90.00 90.00 113.53
With the nearest neighbours (Å) after each atom.
Positions (direct):
Fe (0.0000, 0.0000, 0.2377)  2 W 2.53, 2 Br 2.70
Fe (0.0000, 0.0000, 0.7623)  2 W 2.53, 2 Br 2.70
W (0.5000, 0.5000, 0.0000)  4 Fe 2.53
Br (0.5000, 0.5000, 0.5000)  4 Fe 2.70, 4 Br 2.87

***

2.
The following is a PBE-GGA calculation of an optimized crystal structure of TlSiAg2Rh, from Alexandria.

As for the space group: P4/mmm (123). The crystal system is tetragonal. The size of the total moment comes out at 0.0 μB per formula unit. The value obtained for the formation energy from raw total energies is 0.33 eV/atom. The electronic total energy comes out at -3.839 eV/atom.

Lattice parameters (Å, degrees): 5.2592 5.2592 4.4167 90.00 90.00 90.00
With the nearest neighbours (Å) after each atom.
Positions (direct):
Tl (0.0000, 0.0000, 0.0000)  8 Ag 3.43, 4 Si 3.72
Si (0.5000, 0.5000, 0.0000)  2 Rh 2.21
Ag (0.0000, 0.5000, 0.5000)  2 Rh 2.63
Ag (0.5000, 0.0000, 0.5000)  2 Rh 2.63
Rh (0.5000, 0.5000, 0.5000)  2 Si 2.21